Record 1
{"formula": "K2MnNb2Se6", "functional": "GGA-PBE", "state": "optimized geometry", "lattice_angstrom": [[6.4645, 0.0647, 0.1405], [-3.1389, 5.6517, 0.1405], [-1.0613, -1.8242, 7.8312]], "species": ["Se", "Se", "Se", "Se", "K", "Se", "Nb", "Mn", "Se", "K", "Nb"], "frac_coords": [[0.9569, 0.6183, 0.3253], [0.0431, 0.3817, 0.6747], [0.3817, 0.0431, 0.6747], [0.2813, 0.2813, 0.2773], [0.1827, 0.8173, 0.0000], [0.6183, 0.9569, 0.3253], [0.3643, 0.6357, 0.5000], [0.0000, 0.0000, 0.5000], [0.7187, 0.7187, 0.7227], [0.8173, 0.1827, 0.0000], [0.6357, 0.3643, 0.5000]], "e_tot_ev_per_atom": -5.613}

Record 2
{"formula": "Be2GeAs3", "functional": "GGA-PBE", "state": "optimized geometry", "lattice_angstrom": [[0.9071, -6.4196, -1.0595], [2.6909, 2.8658, 5.2633], [-6.2566, -0.0802, 1.8829]], "species": ["Ge", "Ge", "As", "Be", "Be", "Be", "Be", "As", "As", "As", "As", "As"], "frac_coords": [[0.9197, 0.0954, 0.0013], [0.0954, 0.9197, 0.5013], [0.4097, 0.8839, 0.3750], [0.7555, 0.2605, 0.5083], [0.4355, 0.5999, 0.5091], [0.5999, 0.4355, 0.0091], [0.2605, 0.7555, 0.0083], [0.0596, 0.2497, 0.4015], [0.6963, 0.5295, 0.3760], [0.2497, 0.0596, 0.9015], [0.5295, 0.6963, 0.8760], [0.8839, 0.4097, 0.8750]], "ef_ev_per_atom": -0.10}

Record 3
{"formula": "KP2Pt", "functional": "GGA-PBE", "state": "optimized geometry", "lattice_angstrom": [[5.3232, -0.1283, -0.0713], [4.5092, 2.8320, -0.0713], [2.4684, 0.6787, 5.6751]], "species": ["P", "P", "K", "Pt"], "frac_coords": [[0.5391, 0.5391, 0.3466], [0.9609, 0.9609, 0.1534], [0.7500, 0.7500, 0.7500], [0.2500, 0.2500, 0.2500]], "de_polymorph_kj_per_mol_fu": 85, "ef_ev_per_atom": -0.21}

Number 2 is which compound?
Be2GeAs3

Number 3 is which compound?
KP2Pt